(1)
The following is a DFT calculation (PBE) of an optimized crystal structure of YRe.

Its formation enthalpy at 0 K is 64 kJ/mol of formula units. As for the space group: No. 128.

Cell: 9.525 9.525 4.186 Å, 90.00 90.00 90.00°
Fractional coordinates of all 16 atoms:
Y (0.130, 0.196, 0.000)
Y (0.196, 0.870, 0.000)
Y (0.304, 0.370, 0.500)
Y (0.370, 0.696, 0.500)
Y (0.630, 0.304, 0.500)
Y (0.696, 0.630, 0.500)
Y (0.804, 0.130, 0.000)
Y (0.870, 0.804, 0.000)
Re (0.039, 0.632, 0.500)
Re (0.132, 0.539, 0.000)
Re (0.368, 0.039, 0.500)
Re (0.461, 0.132, 0.000)
Re (0.539, 0.868, 0.000)
Re (0.632, 0.961, 0.500)
Re (0.868, 0.461, 0.000)
Re (0.961, 0.368, 0.500)

(2)
The following is a DFT calculation (PBE) of an optimized crystal structure of TlIn2P.

Its formation enthalpy at 0 K is 37 kJ/mol of formula units. As for the space group: No. 6.

Cell: 3.780 3.753 7.674 Å, 90.00 100.12 90.00°
Fractional coordinates of all 4 atoms:
Tl (0.000, 0.000, 0.000)
In (0.375, 0.500, 0.708)
In (0.754, 0.000, 0.430)
P (0.220, 0.500, 0.335)

(3)
The following is a DFT calculation (PBE) of an optimized crystal structure of RbSmBeTe3.

For the energy relative to the elements, uncorrected, the calculation gives -4.612 eV per formula unit. As for the space group: No. 12.

Cell: 8.866 8.866 9.636 Å, 102.29 102.29 34.48°
Fractional coordinates of all 12 atoms:
Rb (0.145, 0.145, 0.056)
Rb (0.855, 0.855, 0.944)
Sm (0.147, 0.147, 0.564)
Sm (0.853, 0.853, 0.436)
Be (0.493, 0.493, 0.710)
Be (0.507, 0.507, 0.290)
Te (0.005, 0.005, 0.294)
Te (0.338, 0.338, 0.648)
Te (0.357, 0.357, 0.234)
Te (0.643, 0.643, 0.766)
Te (0.662, 0.662, 0.352)
Te (0.995, 0.995, 0.706)

Number 1: magnetic moment 0.00 Bohr magnetons per cell. Number 2: magnetic moment 0.00 Bohr magnetons per cell. Number 3: magnetic moment 0.00 Bohr magnetons per cell.